[1]
Computed, not measured: a geometry-optimized Ba2NpN4 structure at the PBE level of DFT.

Lattice parameters (Å, degrees): 5.7786 3.5767 6.7005 90.00 115.53 90.00
Each line ends with the local moment (μB).
Fractional positions:
N: 0.1091 0.5000 0.2185  -0.10
N: 0.6172 0.0000 0.0000  -0.06
Ba: 0.3445 0.5000 0.6890  0.00
Np: 0.0000 0.0000 0.0000  1.34
N: 0.3828 0.0000 0.0000  -0.06
N: 0.8909 0.5000 0.7815  -0.10
Ba: 0.6555 0.5000 0.3110  0.00

Calculated values
The space group is Cmmm (65). For the calculated total energy, the calculation gives -7.901 eV per atom. The crystal system is orthorhombic.

[2]
Computed, not measured: a geometry-optimized FeHgAs structure at the PBE level of DFT.

Lattice parameters (Å, degrees): 3.7684 3.7684 4.4003 90.00 90.00 90.00
Each line ends with the local moment (μB).
Fractional positions:
Fe: 0.0000 0.0000 0.0000  1.51
As: 0.0000 0.0000 0.5000  -0.08
Hg: 0.5000 0.5000 0.0000  -0.05

Calculated values
The space group is P4/mmm (123). For the calculated total energy, the calculation gives -4.022 eV per atom. The crystal system is tetragonal.

[3]
Computed, not measured: a geometry-optimized GdDyZn structure at the PBE level of DFT.

Lattice parameters (Å, degrees): 4.9505 4.9505 4.9505 60.00 60.00 60.00
Fractional positions:
Zn: 0.0000 0.0000 0.0000
Gd: 0.7500 0.7500 0.7500
Dy: 0.2500 0.2500 0.2500

Calculated values
The space group is F-43m (216). For the calculated total energy, the calculation gives -3.484 eV per atom. The crystal system is cubic.

[4]
Computed, not measured: a geometry-optimized BeFeSiW structure at the PBE level of DFT.

Lattice parameters (Å, degrees): 4.0420 4.0420 4.0420 60.00 60.00 60.00
Fractional positions:
Fe: 0.7500 0.7500 0.7500
Si: 0.0000 0.0000 0.0000
W: 0.2500 0.2500 0.2500
Be: 0.5000 0.5000 0.5000

Calculated values
The space group is F-43m (216). For the calculated total energy, the calculation gives -7.530 eV per atom. The crystal system is cubic.

[5]
Computed, not measured: a geometry-optimized Zr2InCu2 structure at the PBE level of DFT.

Lattice parameters (Å, degrees): 6.2593 6.2593 6.2593 140.16 140.16 57.61
Fractional positions:
In: 0.0000 0.0000 0.0000
Cu: 0.3983 0.3983 0.0000
Zr: 0.2500 0.7500 0.5000
Zr: 0.7500 0.2500 0.5000
Cu: 0.6017 0.6017 0.0000

Calculated values
The space group is I4/mmm (139). For the calculated total energy, the calculation gives -5.355 eV per atom. The crystal system is tetragonal.

[6]
Computed, not measured: a geometry-optimized Y3Ho3ReTe2 structure at the PBE level of DFT.

Lattice parameters (Å, degrees): 8.2582 8.2582 4.1395 90.00 90.00 120.00
Fractional positions:
Te: 0.6667 0.3333 0.5000
Ho: 0.0000 0.2363 0.5000
Re: 0.0000 0.0000 0.0000
Ho: 0.7637 0.7637 0.5000
Te: 0.3333 0.6667 0.5000
Ho: 0.2363 0.0000 0.5000
Y: 0.0000 0.6092 0.0000
Y: 0.6092 0.0000 0.0000
Y: 0.3908 0.3908 0.0000

Calculated values
The space group is P-62m (189). For the calculated total energy, the calculation gives -6.404 eV per atom. The crystal system is hexagonal.

[7]
Computed, not measured: a geometry-optimized YB4W structure at the PBE level of DFT.

Lattice parameters (Å, degrees): 4.7143 4.7143 4.7143 140.81 109.56 83.70
Fractional positions:
B: 0.0895 0.7524 0.3371
B: 0.9105 0.2476 0.6629
B: 0.4154 0.7524 0.6629
W: 0.5000 0.5000 0.0000
B: 0.5846 0.2476 0.3371
Y: 0.0000 0.0000 0.0000

Calculated values
The space group is Immm (71). For the calculated total energy, the calculation gives -8.087 eV per atom. The crystal system is orthorhombic.

[8]
Computed, not measured: a geometry-optimized Sc4Ta2Cd3C3 structure at the PBE level of DFT.

Lattice parameters (Å, degrees): 5.6642 5.6642 15.3902 101.16 101.16 60.05
Fractional positions:
Ta: 0.4750 0.6535 0.4280
Sc: 0.1834 0.0433 0.5857
Cd: 0.8865 0.1135 0.7500
Sc: 0.0433 0.1834 0.0857
C: 0.0000 0.5000 0.0000
Cd: 0.1135 0.8865 0.2500
Ta: 0.3465 0.5250 0.0720
C: 0.3451 0.8097 0.0001
Cd: 0.2783 0.4191 0.7521
Sc: 0.9567 0.8166 0.9143
Ta: 0.5250 0.3465 0.5720
Sc: 0.1230 0.3035 0.4143
Cd: 0.7217 0.5809 0.2479
Sc: 0.8770 0.6965 0.5857
Ta: 0.6535 0.4750 0.9280
C: 0.1903 0.6549 0.4999
C: 0.6549 0.1903 0.9999
Sc: 0.8166 0.9567 0.4143
Cd: 0.4191 0.2783 0.2521
Sc: 0.6965 0.8770 0.0857
Sc: 0.3035 0.1230 0.9143
C: 0.8097 0.3451 0.5001
Cd: 0.5809 0.7217 0.7479
C: 0.5000 0.0000 0.5000

Calculated values
The space group is C2/c (15). For the calculated total energy, the calculation gives -7.067 eV per atom. The crystal system is monoclinic.

[9]
Computed, not measured: a geometry-optimized ZrAlAsO structure at the PBE level of DFT.

Lattice parameters (Å, degrees): 3.6424 3.6424 9.8308 90.00 90.00 90.00
Fractional positions:
O: 0.5000 0.5000 0.0000
O: 0.0000 0.0000 0.0000
Al: 0.5000 0.5000 0.5000
As: 0.0000 0.5000 0.7279
Al: 0.0000 0.0000 0.5000
Zr: 0.5000 0.0000 0.8740
As: 0.5000 0.0000 0.2721
Zr: 0.0000 0.5000 0.1260

Calculated values
The space group is P4/nmm (129). For the calculated total energy, the calculation gives -6.772 eV per atom. The crystal system is tetragonal.

[10]
Computed, not measured: a geometry-optimized PmAsPd structure at the PBE level of DFT.

Lattice parameters (Å, degrees): 4.5912 4.5912 4.5912 60.00 60.00 60.00
Fractional positions:
Pm: 0.7500 0.7500 0.7500
Pd: 0.0000 0.0000 0.0000
As: 0.2500 0.2500 0.2500

Calculated values
The space group is F-43m (216). For the calculated total energy, the calculation gives -5.929 eV per atom. The crystal system is cubic.

[11]
Computed, not measured: a geometry-optimized ScZn2Co2 structure at the PBE level of DFT.

Lattice parameters (Å, degrees): 5.7794 5.7794 5.7794 141.71 141.71 55.26
Fractional positions:
Co: 0.6040 0.6040 0.0000
Zn: 0.7500 0.2500 0.5000
Sc: 0.0000 0.0000 0.0000
Zn: 0.2500 0.7500 0.5000
Co: 0.3960 0.3960 0.0000

Calculated values
The space group is I4/mmm (139). For the calculated total energy, the calculation gives -4.693 eV per atom. The crystal system is tetragonal.

[12]
Computed, not measured: a geometry-optimized Rb15Hg16 structure at the PBE level of DFT.

Lattice parameters (Å, degrees): 14.9119 14.9119 14.9119 104.88 111.81 111.81
Fractional positions:
Rb: 0.4771 0.6481 0.1628
Rb: 0.2926 0.8636 0.6068
Hg: 0.2370 0.3014 0.3613
Rb: 0.9852 0.3372 0.8143
Rb: 0.7432 0.4290 0.6364
Hg: 0.4263 0.2987 0.5397
Rb: 0.0229 0.6857 0.6709
Rb: 0.4852 0.1709 0.1481
Hg: 0.9401 0.0644 0.8014
Rb: 0.7074 0.1364 0.3932
Rb: 0.7568 0.8932 0.1858
Rb: 0.5229 0.3519 0.8372
Rb: 0.5466 0.1363 0.6353
Rb: 0.0466 0.9112 0.9103
Hg: 0.8153 0.4147 0.9063
Hg: 0.5031 0.0874 0.9009
Rb: 0.2500 0.3814 0.6314
Rb: 0.9991 0.1353 0.5888
Hg: 0.1865 0.5843 0.5874
Rb: 0.9534 0.0888 0.0897
Rb: 0.2074 0.3142 0.0710
Hg: 0.7630 0.6986 0.6387
Hg: 0.8135 0.4157 0.4126
Hg: 0.7370 0.8758 0.4356
Hg: 0.5599 0.8613 0.6242
Rb: 0.7926 0.6858 0.9290
Rb: 0.0009 0.8647 0.4112
Rb: 0.7500 0.1314 0.8814
Rb: 0.2432 0.1068 0.8142
Hg: 0.0599 0.9356 0.1986
Hg: 0.0031 0.6022 0.9157
Rb: 0.4991 0.4103 0.3637
Hg: 0.3135 0.4009 0.8978
Hg: 0.1847 0.5853 0.0937
Hg: 0.6865 0.5991 0.1022
Hg: 0.7409 0.0397 0.6133
Hg: 0.4401 0.1387 0.3758
Hg: 0.4969 0.9126 0.0991
Rb: 0.5009 0.5897 0.6363
Rb: 0.4534 0.8637 0.3647
Hg: 0.9916 0.4063 0.5910
Rb: 0.7500 0.6186 0.3686
Rb: 0.2500 0.6250 0.8750
Hg: 0.9263 0.8867 0.6276
Hg: 0.2591 0.9603 0.3867
Hg: 0.2409 0.1276 0.2013
Hg: 0.0737 0.1133 0.3724
Hg: 0.5084 0.5993 0.9147
Rb: 0.7500 0.3750 0.1250
Rb: 0.2568 0.5710 0.3636
Hg: 0.7591 0.8724 0.7987
Hg: 0.4916 0.4007 0.0853
Rb: 0.0148 0.6628 0.1857
Hg: 0.0084 0.5937 0.4090
Hg: 0.6847 0.0910 0.0993
Hg: 0.9969 0.3978 0.0843
Rb: 0.2500 0.8686 0.1186
Hg: 0.5737 0.7013 0.4603
Hg: 0.2630 0.1242 0.5644
Rb: 0.9771 0.3143 0.3291
Rb: 0.5148 0.8291 0.8519
Hg: 0.3153 0.9090 0.9007

Calculated values
The space group is I4_1/a (88). For the calculated total energy, the calculation gives -0.848 eV per atom. The crystal system is tetragonal.